No. 1
# CsY3Ge

Crystalline CsY3Ge at its relaxed geometry (GGA-PBE, the Alexandria database).

Crystal system: cubic
Excess energy over the best structure of this formula in the dataset: 1222 meV/atom
ρ: 4537 kg/m3
Total moment: 0.0 μB/f.u.

Cell: 5.5706 5.5706 5.5706 Å, 90.00 90.00 90.00°
Space group Pm-3m (No. 221)
Unique sites:
1 Cs 0.0000 0.0000 0.0000 [1 per cell]
2 Y 0.0000 0.0000 0.5000 [3 per cell]
3 Ge 0.5000 0.5000 0.5000 [1 per cell]

No. 2
# CsY3Ge

Crystalline CsY3Ge at its relaxed geometry (GGA-PBE, the Alexandria database).

Crystal system: cubic
Excess energy over the best structure of this formula in the dataset: 0 meV/atom
ρ: 4195 kg/m3
Total moment: 0.0 μB/f.u.

Cell: 5.7180 5.7180 5.7180 Å, 90.00 90.00 90.00°
Space group Pm-3m (No. 221)
Unique sites:
1 Cs 0.0000 0.0000 0.0000 [1 per cell]
2 Y 0.0000 0.5000 0.5000 [3 per cell]
3 Ge 0.5000 0.5000 0.5000 [1 per cell]

No. 3
# Cs2YGe

Crystalline Cs2YGe at its relaxed geometry (GGA-PBE, the Alexandria database).

Crystal system: cubic
Excess energy over the best structure of this formula in the dataset: 513 meV/atom
ρ: 4169 kg/m3
Total moment: 0.0 μB/f.u.

Cell: 8.7973 8.7973 8.7973 Å, 90.00 90.00 90.00°
Space group Fm-3m (No. 225)
Unique sites:
1 Cs 0.2500 0.2500 0.2500 [8 per cell]
2 Y 0.0000 0.0000 0.0000 [4 per cell]
3 Ge 0.0000 0.0000 0.5000 [4 per cell]

No. 4
# CsYGe

Crystalline CsYGe at its relaxed geometry (GGA-PBE, the Alexandria database).

Crystal system: orthorhombic
Excess energy over the best structure of this formula in the dataset: 315 meV/atom
ρ: 3526 kg/m3
Total moment: 0.0 μB/f.u.

Cell: 8.4920 5.0940 12.8212 Å, 90.00 90.00 90.00°
Space group Pnma (No. 62)
Unique sites:
1 Cs 0.1063 0.2500 0.1186 [4 per cell]
2 Y 0.0273 0.7500 0.4014 [4 per cell]
3 Ge 0.1732 0.2500 0.4197 [4 per cell]

No. 5
# CsYGe

Crystalline CsYGe at its relaxed geometry (GGA-PBE, the Alexandria database).

Crystal system: triclinic
Excess energy over the best structure of this formula in the dataset: 179 meV/atom
ρ: 3254 kg/m3
Total moment: 0.4 μB/f.u.

Cell: 5.4807 5.5250 10.1663 Å, 87.53 87.86 77.86°
Space group P1 (No. 1)
Unique sites:
1 Cs 0.0000 0.0000 0.0000 [1 per cell]
2 Cs 0.4764 0.4729 0.3674 [1 per cell]
3 Y 0.5225 0.5207 0.7563 [1 per cell]
4 Y 0.9528 0.9498 0.6111 [1 per cell]
5 Ge 0.0440 0.4297 0.6795 [1 per cell]
6 Ge 0.4314 0.0407 0.6877 [1 per cell]

No. 6
# CsYGe2

Crystalline CsYGe2 at its relaxed geometry (GGA-PBE, the Alexandria database).

Crystal system: cubic
Excess energy over the best structure of this formula in the dataset: 115 meV/atom
ρ: 5242 kg/m3
Total moment: 0.0 μB/f.u.

Cell: 7.7479 7.7479 7.7479 Å, 90.00 90.00 90.00°
Space group Fm-3m (No. 225)
Unique sites:
1 Cs 0.0000 0.0000 0.0000 [4 per cell]
2 Y 0.0000 0.0000 0.5000 [4 per cell]
3 Ge 0.2500 0.2500 0.2500 [8 per cell]